GGA-PBE SbAsW4, optimized geometry; space-group type = No. 216; crystal system = cubic; total magnetic moment = 0.00 μB/cell; E = -9.3216 eV per atom; formation energy (no corrections) = 0.776 eV per atom
1.0
0.000 3.804 3.804
3.804 0.000 3.804
3.804 3.804 0.000
Sb As W
1 1 4
direct
0.000 0.000 0.000 Sb
0.250 0.250 0.250 As
0.128 0.624 0.624 W
0.624 0.128 0.624 W
0.624 0.624 0.128 W
0.624 0.624 0.624 W